Density functional theory data (PBE) for crystalline LaNi4Sb at its relaxed geometry.

The calculation puts the uncorrected formation energy at -0.2490 eV/atom.

The space group is F-43m (No. 216) and the conventional cell measures 7.233, 7.233 and 7.233 Å, with angles of 90.00, 90.00 and 90.00 degrees. Symmetry generates all atoms from La at (0.000, 0.000, 0.000), Ni at (0.124, 0.124, 0.624) and Sb at (0.250, 0.250, 0.250).